Record 1
NbTl3I2Br6 | PBE-GGA | relaxed

Unit cell a=9.507 b=9.507 c=6.395 alpha=90.69 beta=90.69 gamma=57.45
Fractional positions:
Nb (0.000, 0.000, 0.000)
Tl (0.000, 0.500, 0.000)
Tl (0.500, 0.000, 0.000)
Tl (0.500, 0.500, 0.500)
I (0.306, 0.306, 0.365)
I (0.694, 0.694, 0.635)
Br (0.123, 0.123, 0.765)
Br (0.131, 0.736, 0.774)
Br (0.264, 0.869, 0.226)
Br (0.736, 0.131, 0.774)
Br (0.869, 0.264, 0.226)
Br (0.877, 0.877, 0.235)

Output
Fermi-level density of states in states/eV/f.u.: 0.48
Raw formation energy in meV/atom: -750
Electronic total energy in eV per atom: -3.28


Record 2
Nd2I3Br | PBE-GGA | relaxed

Unit cell a=8.359 b=8.359 c=8.180 alpha=90.00 beta=90.00 gamma=120.00
Fractional positions:
Nd (0.000, 0.000, 0.000)
Nd (0.000, 0.500, 0.000)
Nd (0.500, 0.000, 0.000)
Nd (0.500, 0.500, 0.000)
I (0.167, 0.334, 0.256)
I (0.167, 0.833, 0.256)
I (0.334, 0.167, 0.744)
I (0.666, 0.833, 0.256)
I (0.833, 0.167, 0.744)
I (0.833, 0.666, 0.744)
Br (0.333, 0.667, 0.785)
Br (0.667, 0.333, 0.215)

Output
Fermi-level density of states in states/eV/f.u.: 3.38
Raw formation energy in meV/atom: -1382
Electronic total energy in eV per atom: -4.02


Record 3
Nd2I2Br3 | PBE-GGA | relaxed

Unit cell a=4.580 b=4.560 c=15.067 alpha=90.00 beta=98.82 gamma=90.00
Fractional positions:
Nd (0.107, 0.000, 0.200)
Nd (0.893, 0.000, 0.800)
I (0.403, 0.500, 0.819)
I (0.597, 0.500, 0.181)
Br (0.000, 0.000, 0.000)
Br (0.190, 0.000, 0.378)
Br (0.810, 0.000, 0.622)

Output
Fermi-level density of states in states/eV/f.u.: 1.78
Raw formation energy in meV/atom: -1407
Electronic total energy in eV per atom: -3.93


Record 4
NdI2Br | PBE-GGA | relaxed

Unit cell a=4.096 b=6.239 c=7.330 alpha=67.12 beta=76.24 gamma=85.63
Fractional positions:
Nd (0.000, 0.000, 0.000)
I (0.365, 0.840, 0.353)
I (0.989, 0.501, 0.002)
Br (0.615, 0.148, 0.692)

Output
Fermi-level density of states in states/eV/f.u.: 0.00
Raw formation energy in meV/atom: -1477
Electronic total energy in eV per atom: -3.86


Record 5
Nd2I2Br3 | PBE-GGA | relaxed

Unit cell a=11.952 b=3.939 c=11.751 alpha=90.00 beta=105.56 gamma=90.00
Fractional positions:
Nd (0.115, 0.000, 0.201)
Nd (0.385, 0.500, 0.799)
Nd (0.615, 0.500, 0.201)
Nd (0.885, 0.000, 0.799)
I (0.180, 0.000, 0.812)
I (0.320, 0.500, 0.188)
I (0.680, 0.500, 0.812)
I (0.820, 0.000, 0.188)
Br (0.000, 0.500, 0.000)
Br (0.102, 0.500, 0.380)
Br (0.398, 0.000, 0.620)
Br (0.500, 0.000, 0.000)
Br (0.602, 0.000, 0.380)
Br (0.898, 0.500, 0.620)

Output
Fermi-level density of states in states/eV/f.u.: 1.89
Raw formation energy in meV/atom: -1541
Electronic total energy in eV per atom: -4.06


Record 6
NdI2Br | PBE-GGA | relaxed

Unit cell a=4.268 b=15.551 c=9.961 alpha=90.00 beta=90.00 gamma=90.00
Fractional positions:
Nd (0.000, 0.243, 0.250)
Nd (0.000, 0.757, 0.750)
Nd (0.500, 0.257, 0.750)
Nd (0.500, 0.743, 0.250)
I (0.000, 0.152, 0.564)
I (0.000, 0.152, 0.936)
I (0.000, 0.848, 0.064)
I (0.000, 0.848, 0.436)
I (0.500, 0.348, 0.064)
I (0.500, 0.348, 0.436)
I (0.500, 0.652, 0.564)
I (0.500, 0.652, 0.936)
Br (0.000, 0.386, 0.750)
Br (0.000, 0.614, 0.250)
Br (0.500, 0.114, 0.250)
Br (0.500, 0.886, 0.750)

Output
Fermi-level density of states in states/eV/f.u.: 0.00
Raw formation energy in meV/atom: -1575
Electronic total energy in eV per atom: -3.96


Record 7
Nd2IBr | PBE-GGA | relaxed

Unit cell a=3.789 b=3.789 c=28.999 alpha=90.00 beta=90.00 gamma=120.00
Fractional positions:
Nd (0.000, 0.000, 0.247)
Nd (0.000, 0.000, 0.753)
Nd (0.333, 0.667, 0.420)
Nd (0.333, 0.667, 0.914)
Nd (0.667, 0.333, 0.086)
Nd (0.667, 0.333, 0.580)
I (0.000, 0.000, 0.000)
I (0.333, 0.667, 0.667)
I (0.667, 0.333, 0.333)
Br (0.000, 0.000, 0.500)
Br (0.333, 0.667, 0.167)
Br (0.667, 0.333, 0.833)

Output
Fermi-level density of states in states/eV/f.u.: 2.07
Raw formation energy in meV/atom: -969
Electronic total energy in eV per atom: -4.16


Record 8
NdIBr2 | PBE-GGA | relaxed

Unit cell a=8.475 b=12.723 c=7.737 alpha=90.00 beta=118.33 gamma=90.00
Fractional positions:
Nd (0.000, 0.091, 0.000)
Nd (0.000, 0.909, 0.500)
Nd (0.500, 0.409, 0.500)
Nd (0.500, 0.591, 0.000)
I (0.266, 0.412, 0.714)
I (0.266, 0.588, 0.214)
I (0.766, 0.088, 0.214)
I (0.766, 0.912, 0.714)
Br (0.210, 0.065, 0.794)
Br (0.210, 0.935, 0.294)
Br (0.256, 0.252, 0.235)
Br (0.256, 0.748, 0.735)
Br (0.710, 0.435, 0.294)
Br (0.710, 0.565, 0.794)
Br (0.756, 0.248, 0.735)
Br (0.756, 0.752, 0.235)

Output
Fermi-level density of states in states/eV/f.u.: 0.00
Raw formation energy in meV/atom: -1694
Electronic total energy in eV per atom: -4.11


Record 9
NdIBr2 | PBE-GGA | relaxed

Unit cell a=3.979 b=12.111 c=7.780 alpha=90.00 beta=90.00 gamma=90.00
Fractional positions:
Nd (0.000, 0.000, 0.000)
Nd (0.500, 0.500, 0.500)
I (0.000, 0.500, 0.812)
I (0.500, 0.000, 0.312)
Br (0.000, 0.345, 0.365)
Br (0.000, 0.655, 0.365)
Br (0.500, 0.155, 0.865)
Br (0.500, 0.845, 0.865)

Output
Fermi-level density of states in states/eV/f.u.: 0.00
Raw formation energy in meV/atom: -1684
Electronic total energy in eV per atom: -4.10


Record 10
Nd2IBr | PBE-GGA | relaxed

Unit cell a=3.820 b=3.820 c=28.484 alpha=90.00 beta=90.00 gamma=120.00
Fractional positions:
Nd (0.000, 0.000, 0.000)
Nd (0.000, 0.000, 0.169)
Nd (0.333, 0.667, 0.667)
Nd (0.333, 0.667, 0.836)
Nd (0.667, 0.333, 0.333)
Nd (0.667, 0.333, 0.502)
I (0.000, 0.000, 0.418)
I (0.333, 0.667, 0.085)
I (0.667, 0.333, 0.751)
Br (0.000, 0.000, 0.585)
Br (0.333, 0.667, 0.251)
Br (0.667, 0.333, 0.918)

Output
Fermi-level density of states in states/eV/f.u.: 1.52
Raw formation energy in meV/atom: -1014
Electronic total energy in eV per atom: -4.20


Record 11
NdI3Br | PBE-GGA | relaxed

Unit cell a=8.837 b=8.837 c=8.837 alpha=83.28 beta=130.58 gamma=117.81
Fractional positions:
Nd (0.211, 0.250, 0.461)
Nd (0.789, 0.750, 0.539)
I (0.226, 0.009, 0.237)
I (0.226, 0.489, 0.718)
I (0.689, 0.972, 0.217)
I (0.755, 0.472, 0.783)
I (0.772, 0.509, 0.282)
I (0.772, 0.989, 0.763)
Br (0.262, 0.023, 0.738)
Br (0.285, 0.523, 0.262)

Output
Fermi-level density of states in states/eV/f.u.: 1.73
Raw formation energy in meV/atom: -1110
Electronic total energy in eV per atom: -3.33


Record 12
Nd3I7Br | PBE-GGA | relaxed

Unit cell a=8.874 b=8.874 c=7.687 alpha=90.00 beta=90.00 gamma=120.00
Fractional positions:
Nd (0.003, 0.501, 0.000)
Nd (0.499, 0.501, 0.000)
Nd (0.499, 0.997, 0.000)
I (0.168, 0.336, 0.762)
I (0.168, 0.832, 0.762)
I (0.337, 0.168, 0.237)
I (0.664, 0.832, 0.762)
I (0.667, 0.333, 0.753)
I (0.832, 0.168, 0.237)
I (0.832, 0.663, 0.237)
Br (0.333, 0.667, 0.212)

Output
Fermi-level density of states in states/eV/f.u.: 5.75
Raw formation energy in meV/atom: -1407
Electronic total energy in eV per atom: -3.85


Record 13
Nd2I2Br | PBE-GGA | relaxed

Unit cell a=7.420 b=7.420 c=8.828 alpha=111.37 beta=111.37 gamma=49.45
Fractional positions:
Nd (0.014, 0.014, 0.290)
Nd (0.339, 0.339, 0.431)
Nd (0.661, 0.661, 0.569)
Nd (0.986, 0.986, 0.710)
I (0.203, 0.203, 0.659)
I (0.474, 0.474, 0.200)
I (0.526, 0.526, 0.800)
I (0.797, 0.797, 0.341)
Br (0.149, 0.149, 0.093)
Br (0.851, 0.851, 0.907)

Output
Fermi-level density of states in states/eV/f.u.: 3.23
Raw formation energy in meV/atom: -1228
Electronic total energy in eV per atom: -4.09


Record 14
Nd4NiI2Br | PBE-GGA | relaxed

Unit cell a=7.610 b=4.160 c=8.163 alpha=90.00 beta=107.11 gamma=90.00
Fractional positions:
Nd (0.200, 0.000, 0.191)
Nd (0.238, 0.500, 0.797)
Nd (0.762, 0.500, 0.203)
Nd (0.800, 0.000, 0.809)
Ni (0.000, 0.500, 0.000)
I (0.000, 0.000, 0.500)
I (0.500, 0.500, 0.500)
Br (0.500, 0.000, 0.000)

Output
Fermi-level density of states in states/eV/f.u.: 5.35
Raw formation energy in meV/atom: -821
Electronic total energy in eV per atom: -4.52


Record 15
Nd3IBr2O6 | PBE-GGA | relaxed

Unit cell a=7.022 b=7.022 c=5.871 alpha=99.61 beta=99.61 gamma=59.40
Fractional positions:
Nd (0.000, 0.000, 0.000)
Nd (0.000, 0.500, 0.500)
Nd (0.500, 0.000, 0.500)
I (0.500, 0.500, 0.500)
Br (0.218, 0.218, 0.876)
Br (0.782, 0.782, 0.124)
O (0.194, 0.688, 0.701)
O (0.312, 0.806, 0.299)
O (0.333, 0.333, 0.343)
O (0.667, 0.667, 0.657)
O (0.688, 0.194, 0.701)
O (0.806, 0.312, 0.299)

Output
Raw formation energy in meV/atom: -1811
Electronic total energy in eV per atom: -5.89


Record 16
Nd8Pt3I4Br | PBE-GGA | relaxed

Unit cell a=9.382 b=9.382 c=9.382 alpha=55.10 beta=55.10 gamma=55.10
Fractional positions:
Nd (0.209, 0.744, 0.744)
Nd (0.227, 0.227, 0.227)
Nd (0.256, 0.256, 0.791)
Nd (0.256, 0.791, 0.256)
Nd (0.744, 0.209, 0.744)
Nd (0.744, 0.744, 0.209)
Nd (0.773, 0.773, 0.773)
Nd (0.791, 0.256, 0.256)
Pt (0.000, 0.000, 0.500)
Pt (0.000, 0.500, 0.000)
Pt (0.500, 0.000, 0.000)
I (0.000, 0.000, 0.000)
I (0.000, 0.500, 0.500)
I (0.500, 0.000, 0.500)
I (0.500, 0.500, 0.000)
Br (0.500, 0.500, 0.500)

Output
Fermi-level density of states in states/eV/f.u.: 16.10
Raw formation energy in meV/atom: -1063
Electronic total energy in eV per atom: -5.07


Record 17
Nd8Rh3I4Br | PBE-GGA | relaxed

Unit cell a=9.443 b=9.443 c=9.443 alpha=53.87 beta=53.87 gamma=53.87
Fractional positions:
Nd (0.201, 0.745, 0.745)
Nd (0.228, 0.228, 0.228)
Nd (0.255, 0.255, 0.799)
Nd (0.255, 0.799, 0.255)
Nd (0.745, 0.201, 0.745)
Nd (0.745, 0.745, 0.201)
Nd (0.772, 0.772, 0.772)
Nd (0.799, 0.255, 0.255)
Rh (0.000, 0.000, 0.500)
Rh (0.000, 0.500, 0.000)
Rh (0.500, 0.000, 0.000)
I (0.000, 0.000, 0.000)
I (0.000, 0.500, 0.500)
I (0.500, 0.000, 0.500)
I (0.500, 0.500, 0.000)
Br (0.500, 0.500, 0.500)

Output
Fermi-level density of states in states/eV/f.u.: 8.42
Raw formation energy in meV/atom: -924
Electronic total energy in eV per atom: -5.18


Record 18
Nd6Si2I3Br | PBE-GGA | relaxed

Unit cell a=7.530 b=7.530 c=8.031 alpha=98.95 beta=98.95 gamma=120.05
Fractional positions:
Nd (0.082, 0.434, 0.802)
Nd (0.213, 0.213, 0.196)
Nd (0.434, 0.082, 0.802)
Nd (0.566, 0.918, 0.198)
Nd (0.787, 0.787, 0.804)
Nd (0.918, 0.566, 0.198)
Si (0.167, 0.833, 0.000)
Si (0.833, 0.167, 0.000)
I (0.000, 0.000, 0.500)
I (0.336, 0.664, 0.500)
I (0.664, 0.336, 0.500)
Br (0.500, 0.500, 0.000)

Output
Fermi-level density of states in states/eV/f.u.: 5.45
Raw formation energy in meV/atom: -986
Electronic total energy in eV per atom: -4.80


Record 19
NiI2Br | PBE-GGA | relaxed

Unit cell a=7.481 b=7.481 c=7.481 alpha=90.00 beta=90.00 gamma=90.00
Fractional positions:
Ni (0.000, 0.000, 0.000)
Ni (0.000, 0.500, 0.500)
Ni (0.500, 0.000, 0.500)
Ni (0.500, 0.500, 0.000)
I (0.250, 0.250, 0.250)
I (0.250, 0.250, 0.750)
I (0.250, 0.750, 0.250)
I (0.250, 0.750, 0.750)
I (0.750, 0.250, 0.250)
I (0.750, 0.250, 0.750)
I (0.750, 0.750, 0.250)
I (0.750, 0.750, 0.750)
Br (0.000, 0.000, 0.500)
Br (0.000, 0.500, 0.000)
Br (0.500, 0.000, 0.000)
Br (0.500, 0.500, 0.500)

Output
Fermi-level density of states in states/eV/f.u.: 7.20
Raw formation energy in meV/atom: 739
Electronic total energy in eV per atom: -1.90


Record 20
Ni2IBr | PBE-GGA | relaxed

Unit cell a=5.672 b=5.672 c=11.398 alpha=90.00 beta=90.00 gamma=90.00
Fractional positions:
Ni (0.234, 0.250, 0.125)
Ni (0.250, 0.734, 0.375)
Ni (0.250, 0.766, 0.875)
Ni (0.266, 0.250, 0.625)
Ni (0.734, 0.750, 0.625)
Ni (0.750, 0.234, 0.875)
Ni (0.750, 0.266, 0.375)
Ni (0.766, 0.750, 0.125)
I (0.000, 0.000, 0.500)
I (0.000, 0.500, 0.750)
I (0.500, 0.000, 0.250)
I (0.500, 0.500, 0.000)
Br (0.000, 0.000, 0.000)
Br (0.000, 0.500, 0.250)
Br (0.500, 0.000, 0.750)
Br (0.500, 0.500, 0.500)

Output
Fermi-level density of states in states/eV/f.u.: 5.95
Raw formation energy in meV/atom: 133
Electronic total energy in eV per atom: -3.56


Record 21
NiI4Br | PBE-GGA | relaxed

Unit cell a=10.584 b=10.584 c=6.612 alpha=97.75 beta=97.75 gamma=47.44
Fractional positions:
Ni (0.077, 0.077, 0.385)
Ni (0.923, 0.923, 0.615)
I (0.119, 0.652, 0.795)
I (0.188, 0.188, 0.679)
I (0.218, 0.782, 0.500)
I (0.348, 0.881, 0.205)
I (0.652, 0.119, 0.795)
I (0.782, 0.218, 0.500)
I (0.812, 0.812, 0.321)
I (0.881, 0.348, 0.205)
Br (0.283, 0.283, 0.021)
Br (0.717, 0.717, 0.979)

Output
Fermi-level density of states in states/eV/f.u.: 0.11
Raw formation energy in meV/atom: 29
Electronic total energy in eV per atom: -2.25


Record 22
Ni3IBr | PBE-GGA | relaxed

Unit cell a=4.571 b=4.571 c=4.571 alpha=90.00 beta=90.00 gamma=90.00
Fractional positions:
Ni (0.000, 0.000, 0.500)
Ni (0.000, 0.500, 0.000)
Ni (0.500, 0.000, 0.000)
I (0.500, 0.500, 0.500)
Br (0.000, 0.000, 0.000)

Output
Fermi-level density of states in states/eV/f.u.: 5.36
Raw formation energy in meV/atom: 833
Electronic total energy in eV per atom: -3.28


Record 23
Ni3IBr | PBE-GGA | relaxed

Unit cell a=4.798 b=4.798 c=4.798 alpha=90.00 beta=90.00 gamma=90.00
Fractional positions:
Ni (0.000, 0.000, 0.500)
Ni (0.000, 0.500, 0.000)
Ni (0.500, 0.000, 0.000)
I (0.000, 0.000, 0.000)
Br (0.500, 0.500, 0.500)

Output
Fermi-level density of states in states/eV/f.u.: 9.58
Raw formation energy in meV/atom: 942
Electronic total energy in eV per atom: -3.17


Record 24
Ni2IBr3 | PBE-GGA | relaxed

Unit cell a=7.505 b=7.505 c=6.902 alpha=90.00 beta=90.00 gamma=120.00
Fractional positions:
Ni (0.000, 0.000, 0.000)
Ni (0.000, 0.500, 0.000)
Ni (0.500, 0.000, 0.000)
Ni (0.500, 0.500, 0.000)
I (0.333, 0.667, 0.235)
I (0.667, 0.333, 0.765)
Br (0.168, 0.335, 0.803)
Br (0.168, 0.832, 0.803)
Br (0.335, 0.168, 0.197)
Br (0.665, 0.832, 0.803)
Br (0.832, 0.168, 0.197)
Br (0.832, 0.665, 0.197)

Output
Fermi-level density of states in states/eV/f.u.: 0.09
Raw formation energy in meV/atom: -268
Electronic total energy in eV per atom: -3.29